{
  "formula": "Tb4AlFe",
  "functional": "PBE",
  "state": "relaxed",
  "cell": [[5.9171, 0.2496, -1.1431], [-2.0798, 6.8739, -2.5877], [0.1924, -0.2035, 7.6285]],
  "species": ["Tb", "Tb", "Tb", "Tb", "Tb", "Tb", "Tb", "Tb", "Al", "Al", "Fe", "Fe"],
  "fractional_positions": [[0.9563, 0.0569, 0.7278], [0.6047, 0.2084, 0.3663], [0.3953, 0.7916, 0.6337], [0.5437, 0.2722, 0.9431], [0.1047, 0.3663, 0.2084], [0.4563, 0.7278, 0.0569], [0.0437, 0.9431, 0.2722], [0.8953, 0.6337, 0.7916], [0.2500, 0.3752, 0.6248], [0.7500, 0.6248, 0.3752], [0.2500, 0.9986, 0.0014], [0.7500, 0.0014, 0.9986]],
  "n_ef_per_ev_fu": 6.59,
  "space_group": "No. 15",
  "vol_a3_per_atom": 26.00,
  "final_energy_ha_per_atom": -0.1924,
  "total_magnetization_mub_per_cell": 0.00,
  "ef_mev_per_atom": -115
}

=====

{
  "formula": "Tb4Al16Fe3",
  "functional": "PBE",
  "state": "relaxed",
  "cell": [[-3.0479, -2.5050, -4.5688], [5.1943, -1.0443, -2.8926], [0.7643, -10.0527, 5.0018]],
  "species": ["Al", "Al", "Al", "Al", "Al", "Al", "Al", "Al", "Al", "Al", "Al", "Al", "Al", "Al", "Al", "Al", "Tb", "Tb", "Tb", "Tb", "Fe", "Fe", "Fe"],
  "fractional_positions": [[0.2484, 0.7516, 0.3859], [0.5000, 0.5000, 0.1953], [0.0000, 0.0000, 0.7881], [0.0000, 0.0000, 0.2119], [0.2484, 0.2484, 0.6141], [0.7516, 0.7516, 0.3859], [0.7516, 0.7516, 0.6141], [0.7245, 0.7245, 0.0000], [0.2484, 0.7516, 0.6141], [0.7516, 0.2484, 0.6141], [0.7245, 0.2755, 0.0000], [0.2755, 0.7245, 0.0000], [0.7516, 0.2484, 0.3859], [0.2755, 0.2755, 0.0000], [0.5000, 0.5000, 0.8047], [0.2484, 0.2484, 0.3859], [0.5000, 0.0000, 0.1920], [0.5000, 0.0000, 0.8080], [0.0000, 0.5000, 0.1920], [0.0000, 0.5000, 0.8080], [0.5000, 0.0000, 0.5000], [0.0000, 0.5000, 0.5000], [0.0000, 0.0000, 0.0000]],
  "n_ef_per_ev_fu": 11.26,
  "space_group": "No. 123",
  "vol_a3_per_atom": 17.83,
  "final_energy_ha_per_atom": -0.1810,
  "total_magnetization_mub_per_cell": 0.91,
  "ef_mev_per_atom": -412
}

=====

{
  "formula": "TbAl3Fe",
  "functional": "PBE",
  "state": "relaxed",
  "cell": [[4.5062, 0.0000, 0.0000], [0.0000, 4.5062, 0.0000], [0.0000, 0.0000, 4.5062]],
  "species": ["Al", "Al", "Al", "Tb", "Fe"],
  "fractional_positions": [[0.0000, 0.0000, 0.5000], [0.5000, 0.0000, 0.0000], [0.0000, 0.5000, 0.0000], [0.5000, 0.5000, 0.5000], [0.0000, 0.0000, 0.0000]],
  "n_ef_per_ev_fu": 1.24,
  "space_group": "No. 221",
  "vol_a3_per_atom": 18.30,
  "final_energy_ha_per_atom": -0.1905,
  "total_magnetization_mub_per_cell": 0.00,
  "ef_mev_per_atom": -319
}

=====

{
  "formula": "Tb2AlFe2",
  "functional": "PBE",
  "state": "relaxed",
  "cell": [[-4.6869, 0.4615, 2.8326], [3.1467, -4.3933, 0.5909], [3.3523, 5.0045, 4.7314]],
  "species": ["Fe", "Fe", "Fe", "Fe", "Al", "Al", "Tb", "Tb", "Tb", "Tb"],
  "fractional_positions": [[0.7071, 0.7104, 0.4953], [0.9967, 0.2896, 0.0047], [0.0033, 0.7104, 0.9953], [0.2929, 0.2896, 0.5047], [0.1285, 0.0000, 0.7500], [0.8715, 0.0000, 0.2500], [0.5037, 0.2943, 0.1462], [0.4963, 0.7057, 0.8538], [0.7906, 0.2943, 0.6462], [0.2094, 0.7057, 0.3538]],
  "n_ef_per_ev_fu": 5.98,
  "space_group": "No. 15",
  "vol_a3_per_atom": 19.17,
  "final_energy_ha_per_atom": -0.2257,
  "total_magnetization_mub_per_cell": 4.15,
  "ef_mev_per_atom": -157
}